# 1
Below is a geometry-optimized InCoBr2 structure, with properties calculated at the PBE-GGA level.

The structure in POSCAR format:
```
InCoBr2
1.0
-3.471 2.433 -3.298
-0.959 0.769 -5.229
-5.018 -4.688 -2.488
Br Co In
2 1 1
direct
0.866 0.866 0.641
0.013 0.013 0.109
0.446 0.446 0.375
0.175 0.175 0.375
```



# 2
Below is a geometry-optimized InCoBr2 structure, with properties calculated at the PBE-GGA level.

The structure in POSCAR format:
```
InCoBr2
1.0
-8.023 2.974 -4.256
-8.428 4.410 -0.916
-6.440 6.169 -3.434
Br Co In
2 1 1
direct
0.886 0.886 0.886
0.114 0.114 0.114
0.500 0.500 0.500
0.000 0.000 0.000
```



In order of appearance, formation energy without anion corrections = -0.176 -0.161 eV/atom.
In order of appearance, total magnetic moment = 2.01 2.58 μB per cell.
In order of appearance, energy relative to the lowest polymorph listed for this composition = 0.00 0.06 eV/f.u..